{
  "formula": "OsAu2Br",
  "functional": "PBE",
  "state": "relaxed",
  "lattice": [[11.112, 0.094, 0.055], [10.721, 2.923, 0.055], [10.721, 1.481, 2.520]],
  "species": ["Au", "Au", "Br", "Os"],
  "fractional_positions": [[0.487, 0.487, 0.487], [0.013, 0.013, 0.013], [0.250, 0.250, 0.250], [0.750, 0.750, 0.750]],
  "dft_energy_ev_per_atom": -4.173,
  "raw_formation_energy_mev_per_atom": 691,
  "m_tot_mub_per_cell": 0.000
}